# TlIn2Co2 PBEsol relaxed
# Electronic total energy (eV/cell): -44.0
# Crystal system: tetragonal
# Magnetization (μB per cell): 0.01
# Density of states at the Fermi level (states/eV/f.u.): 4.40
# DFT formation energy (eV/atom): 0.413
data_TlIn2Co2
_chemical_formula_sum 'Tl2 In4 Co4'
_space_group_name_H-M_alt 'P 1'
_space_group_IT_number 1
_cell_length_a 4.030
_cell_length_b 4.030
_cell_length_c 11.155
_cell_angle_alpha 90.00
_cell_angle_beta 90.00
_cell_angle_gamma 90.00
loop_
_space_group_symop_operation_xyz
'x,y,z'
loop_
_atom_site_label
_atom_site_fract_x
_atom_site_fract_y
_atom_site_fract_z
Tl1 0.000 0.000 0.000
Tl2 0.500 0.500 0.500
In1 0.000 0.500 0.250
In2 0.000 0.500 0.750
In3 0.500 0.000 0.250
In4 0.500 0.000 0.750
Co1 0.000 0.000 0.400
Co2 0.000 0.000 0.600
Co3 0.500 0.500 0.100
Co4 0.500 0.500 0.900